Entry from the Open Quantum Materials Database: CsErSO after structural relaxation (PBE).

Summary:
energy above the lowest structure with this stoichiometry	0.101	eV/atom
crystal system	trigonal
E	-46.08	eV per cell
volume	90.67	Å³/f.u.

Cell lengths 3.741, 3.741, 14.966 Å; angles 90.00, 90.00, 120.00 degrees
Positions (direct):
Cs1 0.333 0.667 0.277
Cs2 0.667 0.333 0.723
Er1 0.000 0.000 0.000
Er2 0.000 0.000 0.500
S1 0.333 0.667 0.895
S2 0.667 0.333 0.105
O1 0.333 0.667 0.570
O2 0.667 0.333 0.430